First-principles (PBE with a Hubbard U) data for a relaxed structure of CoS2O, as listed in Alexandria.

Unit cell a=7.6230 b=7.6230 c=7.6230 alpha=21.57 beta=21.57 gamma=21.57
Site moments in Bohr magnetons follow the coordinates.
Element x y z (fractional)
S: 0.9049 0.9049 0.9049  0.02
S: 0.0951 0.0951 0.0951  0.02
Co: 0.0000 0.0000 0.0000  1.72
O: 0.5000 0.5000 0.5000  0.04

Calculated values
DFT total energy ... -3.544 eV/atom
Magnetization ... 1.8 μB/cell